[1]
First-principles (SCAN) data for In2AsRu at its PBEsol-relaxed geometry, as listed in Alexandria.

```
In2AsRu
1.0
3.4470 0.0000 0.0000
0.0000 4.5992 0.0000
0.0000 0.0000 4.5992
As In Ru
1 2 1
direct
0.5000 0.0000 0.0000
0.0000 0.0000 0.5000
0.0000 0.5000 0.0000
0.5000 0.5000 0.5000
```

Properties
The total DFT energy (no corrections) comes out at -30.1513 eV per atom. The spin magnetization comes out at 0.000 μB per atom.

=====

[2]
First-principles (SCAN) data for InAs2Ru at its PBEsol-relaxed geometry, as listed in Alexandria.

```
InAs2Ru
1.0
3.4164 0.0000 0.0000
0.0000 4.4913 0.0000
0.0000 0.0000 4.4913
As In Ru
2 1 1
direct
0.0000 0.5000 0.0000
0.0000 0.0000 0.5000
0.5000 0.5000 0.5000
0.5000 0.0000 0.0000
```

Properties
The total DFT energy (no corrections) comes out at -26.6923 eV per atom. The spin magnetization comes out at 0.000 μB per atom.

=====

[3]
First-principles (SCAN) data for InAsRu at its PBEsol-relaxed geometry, as listed in Alexandria.

```
InAsRu
1.0
2.9950 0.0000 0.0000
0.0000 2.9950 0.0000
-1.4975 -1.4975 5.9482
As Ru In
1 1 1
direct
0.9639 0.9639 0.9279
0.3499 0.3499 0.6998
0.6862 0.6862 0.3724
```

Properties
The total DFT energy (no corrections) comes out at -29.5882 eV per atom. The spin magnetization comes out at 0.000 μB per atom.

=====

[4]
First-principles (SCAN) data for InAs2Ru at its PBEsol-relaxed geometry, as listed in Alexandria.

```
InAs2Ru
1.0
3.0241 0.0000 0.0000
0.0000 3.0241 0.0000
0.0000 0.0000 7.8430
Ru As In
1 2 1
direct
0.5000 0.5000 0.5000
0.0000 0.0000 0.3067
0.0000 0.0000 0.6933
0.5000 0.5000 0.0000
```

Properties
The total DFT energy (no corrections) comes out at -27.1838 eV per atom. The spin magnetization comes out at 0.000 μB per atom.

=====

[5]
First-principles (SCAN) data for InAsRu2 at its PBEsol-relaxed geometry, as listed in Alexandria.

```
InAsRu2
1.0
4.3980 0.0000 0.0000
2.1990 3.8088 0.0000
2.1990 1.2696 3.5910
Ru As In
2 1 1
direct
0.7500 0.7500 0.7500
0.2500 0.2500 0.2500
0.0000 0.0000 0.0000
0.5000 0.5000 0.5000
```

Properties
The total DFT energy (no corrections) comes out at -30.7490 eV per atom. The spin magnetization comes out at 0.000 μB per atom.

=====

[6]
First-principles (SCAN) data for InAs2Ru at its PBEsol-relaxed geometry, as listed in Alexandria.

```
InAs2Ru
1.0
-2.3357 2.2273 -0.8398
-2.8440 -1.7584 3.2544
2.5020 3.3819 2.0184
As In Ru
2 1 1
direct
0.0000 0.0000 0.5000
0.0000 0.5000 0.0000
0.5000 0.5000 0.5000
0.5000 0.0000 0.0000
```

Properties
The total DFT energy (no corrections) comes out at -26.8076 eV per atom. The spin magnetization comes out at 0.000 μB per atom.

=====

[7]
First-principles (SCAN) data for InAsS2 at its PBEsol-relaxed geometry, as listed in Alexandria.

```
InAsS2
1.0
-4.3224 1.7400 -0.1529
-3.6556 -2.7589 0.8713
-2.4381 0.5350 3.9375
S In As
2 1 1
direct
0.2500 0.2500 0.2500
0.7500 0.7500 0.7500
0.5000 0.5000 0.5000
0.0000 0.0000 0.0000
```

Properties
As for the uncorrected formation energy: 96.4 kJ/mol of formula units. The spin magnetization comes out at 0.000 μB per atom.

=====

[8]
First-principles (SCAN) data for Ta2InAsS at its PBEsol-relaxed geometry, as listed in Alexandria.

```
Ta2InAsS
1.0
4.7215 0.0000 0.0000
0.0000 5.1097 0.0000
0.0000 0.0000 5.1097
As In Ta S
1 1 2 1
direct
0.5000 0.0000 0.0000
0.0000 0.0000 0.0000
0.0000 0.0000 0.5000
0.0000 0.5000 0.0000
0.5000 0.5000 0.5000
```

Properties
As for the uncorrected formation energy: 1038.8 kJ/mol of formula units. The spin magnetization comes out at 0.555 μB per atom.

=====

[9]
First-principles (SCAN) data for InSbAs2 at its PBEsol-relaxed geometry, as listed in Alexandria.

```
InSbAs2
1.0
3.9595 0.0000 0.0000
0.0000 3.9595 0.0000
0.0000 0.0000 6.2235
As Sb In
2 1 1
direct
0.0000 0.0000 0.1320
0.5000 0.5000 0.1149
0.5000 0.5000 0.6928
0.0000 0.0000 0.5604
```

Properties
As for the uncorrected formation energy: 28.3 kJ/mol of formula units. Its energy relative to the lowest polymorph listed for this composition is 109 meV/atom. The spin magnetization comes out at 0.000 μB per atom.

=====

[10]
First-principles (SCAN) data for In2SbAs at its PBEsol-relaxed geometry, as listed in Alexandria.

```
In2SbAs
1.0
-1.9997 -2.1395 -2.1294
-1.5250 -1.4883 2.9275
-5.1734 4.9917 -0.1573
As In Sb
1 2 1
direct
0.5000 0.5000 0.5000
0.0000 0.0000 0.7251
0.0000 0.0000 0.2749
0.5000 0.5000 0.0000
```

Properties
As for the uncorrected formation energy: 72.0 kJ/mol of formula units. Its energy relative to the lowest polymorph listed for this composition is 389 meV/atom. The spin magnetization comes out at 0.000 μB per atom.

=====

[11]
First-principles (SCAN) data for InSbAs2 at its PBEsol-relaxed geometry, as listed in Alexandria.

```
InSbAs2
1.0
-3.3074 -0.6481 0.7178
0.5768 -4.7176 -1.6020
1.2845 -1.4216 4.6350
As Sb In
2 1 1
direct
0.0000 0.0000 0.5000
0.0000 0.5000 0.0000
0.5000 0.5000 0.5000
0.5000 0.0000 0.0000
```

Properties
As for the uncorrected formation energy: 118.5 kJ/mol of formula units. Its energy relative to the lowest polymorph listed for this composition is 343 meV/atom. The spin magnetization comes out at 0.000 μB per atom.

=====

[12]
First-principles (SCAN) data for InSbAs2 at its PBEsol-relaxed geometry, as listed in Alexandria.

```
InSbAs2
1.0
3.1841 -0.0539 0.0000
-0.9773 3.0309 0.0000
0.0000 0.0000 9.4328
As Sb In
2 1 1
direct
0.5000 0.5000 0.7799
0.0000 0.0000 0.9692
0.5000 0.5000 0.2357
0.0000 0.0000 0.5152
```

Properties
As for the uncorrected formation energy: 126.0 kJ/mol of formula units. Its energy relative to the lowest polymorph listed for this composition is 362 meV/atom. The spin magnetization comes out at 0.000 μB per atom.